# SrBeAl2 (PBE, optimized geometry)
data_SrBeAl2
_chemical_formula_sum 'Sr2 Be2 Al4'
_space_group_name_H-M_alt 'C 1 2/m 1'
_space_group_IT_number 12
_cell_length_a 5.8981
_cell_length_b 10.1736
_cell_length_c 2.9016
_cell_angle_alpha 90.00
_cell_angle_beta 108.43
_cell_angle_gamma 90.00
loop_
_space_group_symop_operation_xyz
'x,y,z'
'-x,-y,-z'
'-x,y,-z'
'x,-y,z'
'x+1/2,y+1/2,z'
'-x+1/2,-y+1/2,-z'
'-x+1/2,y+1/2,-z'
'x+1/2,-y+1/2,z'
loop_
_atom_site_label
_atom_site_type_symbol
_atom_site_fract_x
_atom_site_fract_y
_atom_site_fract_z
Sr1 Sr 0.0000 0.0000 0.0000
Be1 Be 0.0000 0.5000 0.0000
Al1 Al 0.2500 0.2500 0.5000
# DFT total energy in eV for the cell shown: -21.604
# ΔE_f in kcal/mol of atoms: 12.1
# Mass density in g/cm³: 3.0


# SrBeAl2 (PBE, optimized geometry)
data_SrBeAl2
_chemical_formula_sum 'Sr2 Be2 Al4'
_space_group_name_H-M_alt 'C m m m'
_space_group_IT_number 65
_space_group_name_Hall '-C 2 2'
_cell_length_a 5.9230
_cell_length_b 9.6688
_cell_length_c 2.9947
_cell_angle_alpha 90.00
_cell_angle_beta 90.00
_cell_angle_gamma 90.00
loop_
_atom_site_label
_atom_site_type_symbol
_atom_site_fract_x
_atom_site_fract_y
_atom_site_fract_z
Sr1 Sr 0.0000 0.0000 0.0000
Be1 Be 0.0000 0.5000 0.0000
Al1 Al 0.2500 0.2500 0.5000
# DFT total energy in eV for the cell shown: -21.492
# ΔE_f in kcal/mol of atoms: 12.4
# Mass density in g/cm³: 2.9


# Sr2BeAl (PBE, optimized geometry)
data_Sr2BeAl
_chemical_formula_sum 'Sr8 Be4 Al4'
_space_group_name_H-M_alt 'F m -3 m'
_space_group_IT_number 225
_space_group_name_Hall '-F 4 2 3'
_cell_length_a 7.7407
_cell_length_b 7.7407
_cell_length_c 7.7407
_cell_angle_alpha 90.00
_cell_angle_beta 90.00
_cell_angle_gamma 90.00
loop_
_atom_site_label
_atom_site_type_symbol
_atom_site_fract_x
_atom_site_fract_y
_atom_site_fract_z
Sr1 Sr 0.2500 0.2500 0.2500
Be1 Be 0.0000 0.0000 0.0000
Al1 Al 0.0000 0.0000 0.5000
# Offset from the most stable computed form in meV per atom: 213.4
# DFT total energy in eV for the cell shown: -39.425
# ΔE_f in kcal/mol of atoms: 5.6
# Mass density in g/cm³: 3.0


# SrBeAl (PBE, optimized geometry)
data_SrBeAl
_chemical_formula_sum 'Sr1 Be1 Al1'
_space_group_name_H-M_alt 'P -6 m 2'
_space_group_IT_number 187
_space_group_name_Hall 'P -6 2'
_cell_length_a 4.3445
_cell_length_b 4.3445
_cell_length_c 4.4568
_cell_angle_alpha 90.00
_cell_angle_beta 90.00
_cell_angle_gamma 120.00
loop_
_atom_site_label
_atom_site_type_symbol
_atom_site_fract_x
_atom_site_fract_y
_atom_site_fract_z
Sr1 Sr 0.0000 0.0000 0.0000
Be1 Be 0.3333 0.6667 0.5000
Al1 Al 0.6667 0.3333 0.5000
# Offset from the most stable computed form in meV per atom: 95.6
# DFT total energy in eV for the cell shown: -8.817
# ΔE_f in kcal/mol of atoms: 2.6
# Mass density in g/cm³: 2.8


# SrBeAl (PBE, optimized geometry)
data_SrBeAl
_chemical_formula_sum 'Sr4 Be4 Al4'
_space_group_name_H-M_alt 'I 4/m m m'
_space_group_IT_number 139
_space_group_name_Hall '-I 4 2'
_cell_length_a 4.0791
_cell_length_b 4.0791
_cell_length_c 17.4341
_cell_angle_alpha 90.00
_cell_angle_beta 90.00
_cell_angle_gamma 90.00
loop_
_atom_site_label
_atom_site_type_symbol
_atom_site_fract_x
_atom_site_fract_y
_atom_site_fract_z
Sr1 Sr 0.0000 0.0000 0.1568
Be1 Be 0.0000 0.0000 0.4228
Al1 Al 0.0000 0.5000 0.0000
# Offset from the most stable computed form in meV per atom: 0.0
# DFT total energy in eV for the cell shown: -36.414
# ΔE_f in kcal/mol of atoms: 0.4
# Mass density in g/cm³: 2.8


# Sr2BeAl (PBE, optimized geometry)
data_Sr2BeAl
_chemical_formula_sum 'Sr6 Be3 Al3'
_space_group_name_H-M_alt 'R 3 m'
_space_group_IT_number 160
_space_group_name_Hall 'R 3 -2"'
_cell_length_a 4.2955
_cell_length_b 4.2955
_cell_length_c 25.0775
_cell_angle_alpha 90.00
_cell_angle_beta 90.00
_cell_angle_gamma 120.00
loop_
_atom_site_label
_atom_site_type_symbol
_atom_site_fract_x
_atom_site_fract_y
_atom_site_fract_z
Sr1 Sr 0.0000 0.0000 0.0000
Sr2 Sr 0.0000 0.0000 0.1760
Be1 Be 0.0000 0.0000 0.4210
Al1 Al 0.0000 0.0000 0.7547
# Offset from the most stable computed form in meV per atom: 0.0
# DFT total energy in eV for the cell shown: -32.129
# ΔE_f in kcal/mol of atoms: 0.7
# Mass density in g/cm³: 2.6


# SrBeAl2 (PBE, optimized geometry)
data_SrBeAl2
_chemical_formula_sum 'Sr2 Be2 Al4'
_space_group_name_H-M_alt 'A m m 2'
_space_group_IT_number 38
_cell_length_a 4.0824
_cell_length_b 3.7310
_cell_length_c 11.8149
_cell_angle_alpha 90.00
_cell_angle_beta 90.00
_cell_angle_gamma 90.00
loop_
_space_group_symop_operation_xyz
'x,y,z'
'-x,-y,z'
'-x,y,z'
'x,-y,z'
'x,y+1/2,z+1/2'
'-x,-y+1/2,z+1/2'
'-x,y+1/2,z+1/2'
'x,-y+1/2,z+1/2'
loop_
_atom_site_label
_atom_site_type_symbol
_atom_site_fract_x
_atom_site_fract_y
_atom_site_fract_z
Sr1 Sr 0.0000 0.0000 0.0000
Be1 Be 0.5000 0.0000 0.3589
Al1 Al 0.0000 0.0000 0.2699
Al2 Al 0.5000 0.0000 0.7130
# DFT total energy in eV for the cell shown: -24.862
# ΔE_f in kcal/mol of atoms: 2.7
# Mass density in g/cm³: 2.8


# SrBeAl (PBE, optimized geometry)
data_SrBeAl
_chemical_formula_sum 'Sr4 Be4 Al4'
_space_group_name_H-M_alt 'F -4 3 m'
_space_group_IT_number 216
_space_group_name_Hall 'F -4 2 3'
_cell_length_a 6.6616
_cell_length_b 6.6616
_cell_length_c 6.6616
_cell_angle_alpha 90.00
_cell_angle_beta 90.00
_cell_angle_gamma 90.00
loop_
_atom_site_label
_atom_site_type_symbol
_atom_site_fract_x
_atom_site_fract_y
_atom_site_fract_z
Sr1 Sr 0.0000 0.0000 0.0000
Be1 Be 0.2500 0.2500 0.7500
Al1 Al 0.0000 0.0000 0.5000
# Offset from the most stable computed form in meV per atom: 335.4
# DFT total energy in eV for the cell shown: -32.389
# ΔE_f in kcal/mol of atoms: 8.1
# Mass density in g/cm³: 2.8


What is the ΔE_f in the first record? 12.1 kcal/mol of atoms